TcSn3I | meta-GGA SCAN | single point on PBEsol structure

Cell and atoms, written as CIF:
```
data_TcSn3I
_cell_length_a 5.1622
_cell_length_b 5.1622
_cell_length_c 5.1622
_cell_angle_alpha 90.00
_cell_angle_beta 90.00
_cell_angle_gamma 90.00
_space_group_name_H-M_alt 'P m -3 m'
_space_group_IT_number 221
_space_group_name_Hall '-P 4 2 3'
loop_
_atom_site_label
_atom_site_type_symbol
_atom_site_fract_x
_atom_site_fract_y
_atom_site_fract_z
Tc1 Tc 0.0000 0.0000 0.0000
Sn1 Sn 0.0000 0.0000 0.5000
I1 I 0.5000 0.5000 0.5000
```

density of states at the Fermi level	0.0	states/eV/f.u.

---

TiSn3I | meta-GGA SCAN | single point on PBEsol structure

Cell and atoms, written as CIF:
```
data_TiSn3I
_cell_length_a 5.6662
_cell_length_b 5.6662
_cell_length_c 5.6662
_cell_angle_alpha 90.00
_cell_angle_beta 90.00
_cell_angle_gamma 90.00
_space_group_name_H-M_alt 'P m -3 m'
_space_group_IT_number 221
_space_group_name_Hall '-P 4 2 3'
loop_
_atom_site_label
_atom_site_type_symbol
_atom_site_fract_x
_atom_site_fract_y
_atom_site_fract_z
Ti1 Ti 0.0000 0.0000 0.0000
Sn1 Sn 0.0000 0.5000 0.5000
I1 I 0.5000 0.5000 0.5000
```

density of states at the Fermi level	3.3	states/eV/f.u.

---

TiSn2I2 | meta-GGA SCAN | single point on PBEsol structure

Cell and atoms, written as CIF:
```
data_TiSn2I2
_cell_length_a 3.8863
_cell_length_b 3.8863
_cell_length_c 22.3350
_cell_angle_alpha 90.00
_cell_angle_beta 90.00
_cell_angle_gamma 90.00
_space_group_name_H-M_alt 'I 4/m m m'
_space_group_IT_number 139
_space_group_name_Hall '-I 4 2'
loop_
_atom_site_label
_atom_site_type_symbol
_atom_site_fract_x
_atom_site_fract_y
_atom_site_fract_z
Ti1 Ti 0.0000 0.0000 0.0000
Sn1 Sn 0.0000 0.5000 0.2500
I1 I 0.0000 0.0000 0.4232
```

density of states at the Fermi level	1.2	states/eV/f.u.

---

Tl4SnI6 | meta-GGA SCAN | single point on PBEsol structure

Cell and atoms, written as CIF:
```
data_Tl4SnI6
_cell_length_a 9.6558
_cell_length_b 18.7108
_cell_length_c 4.4894
_cell_angle_alpha 90.00
_cell_angle_beta 90.00
_cell_angle_gamma 90.00
_space_group_name_H-M_alt 'P b a m'
_space_group_IT_number 55
loop_
_space_group_symop_operation_xyz
'x,y,z'
'-x,-y,-z'
'-x,-y,z'
'x,y,-z'
'x+1/2,-y+1/2,-z'
'-x+1/2,y+1/2,z'
'-x+1/2,y+1/2,-z'
'x+1/2,-y+1/2,z'
loop_
_atom_site_label
_atom_site_type_symbol
_atom_site_fract_x
_atom_site_fract_y
_atom_site_fract_z
Tl1 Tl 0.1029 0.0794 0.0000
Tl2 Tl 0.2051 0.7960 0.0000
Sn1 Sn 0.0000 0.5000 0.5000
I1 I 0.0590 0.6157 0.0000
I2 I 0.0911 0.2142 0.5000
I3 I 0.1954 0.9453 0.5000
```

density of states at the Fermi level	0.0	states/eV/f.u.

---

TlSn2I5 | meta-GGA SCAN | single point on PBEsol structure

Cell and atoms, written as CIF:
```
data_TlSn2I5
_cell_length_a 8.5987
_cell_length_b 8.5987
_cell_length_c 14.9529
_cell_angle_alpha 90.00
_cell_angle_beta 90.00
_cell_angle_gamma 90.00
_space_group_name_H-M_alt 'I 4/m c m'
_space_group_IT_number 140
_space_group_name_Hall '-I 4 2c'
loop_
_atom_site_label
_atom_site_type_symbol
_atom_site_fract_x
_atom_site_fract_y
_atom_site_fract_z
Tl1 Tl 0.0000 0.0000 0.2500
Sn1 Sn 0.1608 0.3392 0.0000
I1 I 0.0000 0.0000 0.0000
I2 I 0.1576 0.3424 0.3586
```

---

Y3SnI | meta-GGA SCAN | single point on PBEsol structure

Cell and atoms, written as CIF:
```
data_Y3SnI
_cell_length_a 5.6886
_cell_length_b 5.6886
_cell_length_c 5.6886
_cell_angle_alpha 90.00
_cell_angle_beta 90.00
_cell_angle_gamma 90.00
_space_group_name_H-M_alt 'P m -3 m'
_space_group_IT_number 221
_space_group_name_Hall '-P 4 2 3'
loop_
_atom_site_label
_atom_site_type_symbol
_atom_site_fract_x
_atom_site_fract_y
_atom_site_fract_z
Y1 Y 0.0000 0.0000 0.5000
Sn1 Sn 0.0000 0.0000 0.0000
I1 I 0.5000 0.5000 0.5000
```

relative energy among the computed polymorphs	0.000	eV/f.u.
density of states at the Fermi level	6.0	states/eV/f.u.

---

ZnSn2I | meta-GGA SCAN | single point on PBEsol structure

Cell and atoms, written as CIF:
```
data_ZnSn2I
_cell_length_a 7.4449
_cell_length_b 7.4449
_cell_length_c 7.4449
_cell_angle_alpha 90.00
_cell_angle_beta 90.00
_cell_angle_gamma 90.00
_space_group_name_H-M_alt 'F m -3 m'
_space_group_IT_number 225
_space_group_name_Hall '-F 4 2 3'
loop_
_atom_site_label
_atom_site_type_symbol
_atom_site_fract_x
_atom_site_fract_y
_atom_site_fract_z
Zn1 Zn 0.0000 0.0000 0.0000
Sn1 Sn 0.2500 0.2500 0.2500
I1 I 0.0000 0.0000 0.5000
```

density of states at the Fermi level	2.6	states/eV/f.u.

---

ZrSn3I | meta-GGA SCAN | single point on PBEsol structure

Cell and atoms, written as CIF:
```
data_ZrSn3I
_cell_length_a 5.5607
_cell_length_b 5.5607
_cell_length_c 5.5607
_cell_angle_alpha 90.00
_cell_angle_beta 90.00
_cell_angle_gamma 90.00
_space_group_name_H-M_alt 'P m -3 m'
_space_group_IT_number 221
_space_group_name_Hall '-P 4 2 3'
loop_
_atom_site_label
_atom_site_type_symbol
_atom_site_fract_x
_atom_site_fract_y
_atom_site_fract_z
Zr1 Zr 0.0000 0.0000 0.0000
Sn1 Sn 0.0000 0.5000 0.5000
I1 I 0.5000 0.5000 0.5000
```

density of states at the Fermi level	4.2	states/eV/f.u.

---

ZrSnI3 | meta-GGA SCAN | single point on PBEsol structure

Cell and atoms, written as CIF:
```
data_ZrSnI3
_cell_length_a 5.6198
_cell_length_b 5.6198
_cell_length_c 5.6198
_cell_angle_alpha 90.00
_cell_angle_beta 90.00
_cell_angle_gamma 90.00
_space_group_name_H-M_alt 'P m -3 m'
_space_group_IT_number 221
_space_group_name_Hall '-P 4 2 3'
loop_
_atom_site_label
_atom_site_type_symbol
_atom_site_fract_x
_atom_site_fract_y
_atom_site_fract_z
Zr1 Zr 0.0000 0.0000 0.0000
Sn1 Sn 0.5000 0.5000 0.5000
I1 I 0.0000 0.0000 0.5000
```

density of states at the Fermi level	3.7	states/eV/f.u.

---

SrI2 | meta-GGA SCAN | single point on PBEsol structure

Cell and atoms, written as CIF:
```
data_SrI2
_cell_length_a 7.6097
_cell_length_b 7.6097
_cell_length_c 4.8982
_cell_angle_alpha 90.00
_cell_angle_beta 90.00
_cell_angle_gamma 90.00
_space_group_name_H-M_alt 'P 42/m n m'
_space_group_IT_number 136
_space_group_name_Hall '-P 4n 2n'
loop_
_atom_site_label
_atom_site_type_symbol
_atom_site_fract_x
_atom_site_fract_y
_atom_site_fract_z
Sr1 Sr 0.0000 0.0000 0.0000
I1 I 0.1978 0.1978 0.5000
```

density of states at the Fermi level	0.0	states/eV/f.u.

---

SrI2 | meta-GGA SCAN | single point on PBEsol structure

Cell and atoms, written as CIF:
```
data_SrI2
_cell_length_a 12.2563
_cell_length_b 4.8858
_cell_length_c 8.3105
_cell_angle_alpha 90.00
_cell_angle_beta 90.00
_cell_angle_gamma 90.00
_space_group_name_H-M_alt 'P n m a'
_space_group_IT_number 62
loop_
_space_group_symop_operation_xyz
'x,y,z'
'-x,-y,-z'
'-x+1/2,-y,z+1/2'
'x+1/2,y,-z+1/2'
'x+1/2,-y+1/2,-z+1/2'
'-x+1/2,y+1/2,z+1/2'
'-x,y+1/2,-z'
'x,-y+1/2,z'
loop_
_atom_site_label
_atom_site_type_symbol
_atom_site_fract_x
_atom_site_fract_y
_atom_site_fract_z
Sr1 Sr 0.1706 0.2500 0.1305
I1 I 0.1067 0.7500 0.8737
I2 I 0.1202 0.7500 0.3819
```

density of states at the Fermi level	0.0	states/eV/f.u.

---

SrI2 | meta-GGA SCAN | single point on PBEsol structure

Cell and atoms, written as CIF:
```
data_SrI2
_cell_length_a 7.7476
_cell_length_b 15.1766
_cell_length_c 8.2223
_cell_angle_alpha 90.00
_cell_angle_beta 90.00
_cell_angle_gamma 90.00
_space_group_name_H-M_alt 'P b c a'
_space_group_IT_number 61
loop_
_space_group_symop_operation_xyz
'x,y,z'
'-x,-y,-z'
'-x+1/2,-y,z+1/2'
'x+1/2,y,-z+1/2'
'x+1/2,-y+1/2,-z'
'-x+1/2,y+1/2,z'
'-x,y+1/2,-z+1/2'
'x,-y+1/2,z+1/2'
loop_
_atom_site_label
_atom_site_type_symbol
_atom_site_fract_x
_atom_site_fract_y
_atom_site_fract_z
Sr1 Sr 0.2242 0.1109 0.0515
I1 I 0.0062 0.0345 0.7310
I2 I 0.1664 0.7002 0.3967
```

density of states at the Fermi level	0.0	states/eV/f.u.

---

For reference, V by record: 27.51 36.38 33.73 36.87 34.55 36.82 25.79 34.39 35.50 47.27 41.47 40.28 A^3/atom.
For reference, formation energy without anion corrections by record: -102 1266 31 -603 -462 11 499 1288 -86 -1849 -1870 -1861 meV/atom.
For reference, E by record: -1.3235 -1.1334 -1.1848 -1.8456 -1.5233 -1.1476 -1.1034 -1.2404 -1.3029 -1.2410 -1.2418 -1.2414 Ha/atom.